Entry 1:
The following is a PBE calculation of a relaxed structure of KHg2H, from Alexandria.

Summary:
The value obtained for the magnetic moment is 0.00 μB/cell. For the energy above the most stable polymorph in this dataset, the calculation gives 0.24 eV/f.u. The density of states at the Fermi level comes out at 0.00 states/eV/cell. The space-group type is I-42d.

The structure in POSCAR format:
```
KHg2H
1.0
-4.2776 4.2776 2.8599
4.2776 -4.2776 2.8599
4.2776 4.2776 -2.8599
K Hg H
2 4 2
Direct
0.0000 0.0000 0.0000
0.7500 0.2500 0.5000
0.2031 0.6250 0.0781
0.3750 0.4531 0.5781
0.5469 0.1250 0.9219
0.8750 0.7969 0.4219
0.2500 0.7500 0.5000
0.5000 0.5000 0.0000
```

=====

Entry 2:
The following is a PBE calculation of a relaxed structure of KHg6H2, from Alexandria.

Summary:
The value obtained for the magnetic moment is 0.00 μB/cell. The density of states at the Fermi level comes out at 3.90 states/eV/cell. As for the total DFT energy (no corrections): -1.0140 eV/atom. The space-group type is C2/c.

The structure in POSCAR format:
```
KHg6H2
1.0
3.3064 -5.8436 0.0000
3.3064 5.8436 0.0000
-2.3943 0.0000 11.3328
K Hg H
2 12 4
Direct
0.0432 0.9568 0.7500
0.9568 0.0432 0.2500
0.0818 0.6532 0.3947
0.1542 0.5480 0.8671
0.3468 0.9182 0.1053
0.3630 0.4902 0.1108
0.4520 0.8458 0.6329
0.4902 0.3630 0.6108
0.5098 0.6370 0.3892
0.5480 0.1542 0.3671
0.6370 0.5098 0.8892
0.6532 0.0818 0.8947
0.8458 0.4520 0.1329
0.9182 0.3468 0.6053
0.1587 0.2710 0.6003
0.2710 0.1587 0.1003
0.7290 0.8413 0.8997
0.8413 0.7290 0.3997
```

=====

Entry 3:
The following is a PBE calculation of a relaxed structure of K2HgH, from Alexandria.

Summary:
The value obtained for the magnetic moment is 0.00 μB/cell. For the energy above the most stable polymorph in this dataset, the calculation gives 0.19 eV/f.u. The density of states at the Fermi level comes out at 6.56 states/eV/cell. The space-group type is I-42d.

The structure in POSCAR format:
```
K2HgH
1.0
-4.1354 4.1354 3.9353
4.1354 -4.1354 3.9353
4.1354 4.1354 -3.9353
K Hg H
4 2 2
Direct
0.0289 0.6250 0.9039
0.3750 0.2789 0.4039
0.7211 0.1250 0.0961
0.8750 0.9711 0.5961
0.2500 0.7500 0.5000
0.5000 0.5000 0.0000
0.0000 0.0000 0.0000
0.7500 0.2500 0.5000
```